AlReTc2 after structural relaxation. Source: Alexandria, functional PBE.

Results
Theoretical density: 11.627 Mg/m³
Total energy: -0.3429 hartree per atom
Space group: P2/m, No. 10

a = 4.0034 Å, b = 2.8060 Å, c = 5.8914 Å
α = 62.01°, β = 90.00°, γ = 90.00°
Element x y z (fractional)
Re (0.5000, 0.7500, 0.7500)
Tc (0.0000, 0.5133, 0.4900)
Tc (0.0000, 0.9867, 0.0100)
Al (0.5000, 0.2500, 0.2500)